No. 1
The following is a DFT calculation (GGA-PBE) of a relaxed CsPN3 crystal.

Unit cell a=4.3101 b=4.3101 c=4.3101 alpha=90.00 beta=90.00 gamma=90.00
Last column: nearest neighbours and their distance in Å.
Space group Pm-3m (No. 221)
Inequivalent atoms, fractional coordinates:
Cs: 0.0000 0.0000 0.0000 x1  6 N 2.16
P: 0.5000 0.5000 0.5000 x1  12 N 3.05
N: 0.0000 0.0000 0.5000 x3  2 Cs 2.16

Total magnetic moment   0.0001 μB/atom
Formation energy (no corrections)   17.68 eV per formula unit
Uncorrected energy   -0.19930 Ry per atom
V   80 Å³ per cell

=====

No. 2
The following is a DFT calculation (GGA-PBE) of a relaxed LaDy12Co6 crystal.

Unit cell a=9.7940 b=9.7940 c=9.7940 alpha=90.00 beta=90.00 gamma=90.00
Last column: nearest neighbours and their distance in Å.
Space group Im-3 (No. 204)
Inequivalent atoms, fractional coordinates:
La: 0.0000 0.0000 0.0000 x2  12 Dy 3.59
Dy: 0.0000 0.1944 0.3103 x24  3 Co 2.65-2.88
Co: 0.0000 0.3870 0.5000 x12  1 Co 2.21

Total magnetic moment   0.0001 μB/atom
Uncorrected energy   -0.40731 Ry per atom
V   939 Å³ per cell
Energy of formation   -0.132 eV per atom

=====

No. 3
The following is a DFT calculation (GGA-PBE) of a relaxed Ce2Zn7Ga crystal.

Unit cell a=4.2884 b=4.2884 c=10.2955 alpha=90.00 beta=90.00 gamma=90.00
Last column: nearest neighbours and their distance in Å.
Space group P-4m2 (No. 115)
Inequivalent atoms, fractional coordinates:
Ce: 0.0000 0.5000 0.2492 x2  14 Zn 3.26-3.36, 2 Ga 3.36
Zn: 0.0000 0.0000 0.0000 x1  4 Zn 2.53
Zn: 0.0000 0.5000 0.6343 x2  3 Zn 2.42-2.55, 2 Ga 2.55
Zn: 0.0000 0.5000 0.8692 x2  5 Zn 2.42-2.53
Zn: 0.5000 0.5000 0.0000 x1  4 Zn 2.53
Zn: 0.5000 0.5000 0.5000 x1  4 Zn 2.55
Ga: 0.0000 0.0000 0.5000 x1  4 Zn 2.55

Total magnetic moment   0.1299 μB/atom
Uncorrected energy   -0.19659 Ry per atom
V   189 Å³ per cell
Energy of formation   -0.294 eV per atom

=====

No. 4
The following is a DFT calculation (GGA-PBE) of a relaxed LiNbGa2 crystal.

Unit cell a=2.9338 b=2.9338 c=27.4218 alpha=90.00 beta=90.00 gamma=120.00
Last column: nearest neighbours and their distance in Å.
Space group R-3m (No. 166, hexagonal axes)
Inequivalent atoms, fractional coordinates:
Li: 0.0000 0.0000 0.0000 x3  6 Ga 2.82, 6 Li 2.93
Nb: 0.0000 0.0000 0.5000 x3  6 Ga 2.87, 6 Nb 2.93
Ga: 0.0000 0.0000 0.2513 x6  3 Li 2.82, 3 Nb 2.87, 6 Ga 2.93

Distance to the lowest polymorph of the same formula   0.153 eV/atom
Total magnetic moment   0.0000 μB/atom
Uncorrected energy   -0.34303 Ry per atom
V   204 Å³ per cell
Energy of formation   -0.158 eV per atom

=====

No. 5
The following is a DFT calculation (GGA-PBE) of a relaxed TiNbB2Mo crystal.

Unit cell a=4.2041 b=4.2041 c=4.7617 alpha=90.00 beta=90.00 gamma=90.00
Last column: nearest neighbours and their distance in Å.
Space group P4/mmm (No. 123)
Inequivalent atoms, fractional coordinates:
Ti: 0.0000 0.0000 0.0000 x1  4 Mo 2.97, 8 B 3.18
Nb: 0.5000 0.5000 0.5000 x1  4 B 2.10
B: 0.0000 0.5000 0.5000 x2  2 Nb 2.10
Mo: 0.5000 0.5000 0.0000 x1  2 Nb 2.38

Total magnetic moment   0.0000 μB/atom
Uncorrected energy   -0.51013 Ry per atom
V   84 Å³ per cell
Energy of formation   1.489 eV per atom

=====

No. 6
The following is a DFT calculation (GGA-PBE) of a relaxed Pu2Ga4NiIr3 crystal.

Unit cell a=4.0964 b=4.0964 c=10.7669 alpha=90.00 beta=90.00 gamma=90.00
Last column: nearest neighbours and their distance in Å.
Space group P-4m2 (No. 115)
Inequivalent atoms, fractional coordinates:
Pu: 0.0000 0.5000 0.2480 x2  6 Ir 3.12-3.37, 8 Ga 3.18-3.40, 2 Ni 3.37
Ga: 0.0000 0.0000 0.5000 x1  4 Ir 2.56
Ga: 0.0000 0.5000 0.8750 x2  2 Ni 2.45, 3 Ir 2.45-2.50
Ga: 0.5000 0.5000 0.5000 x1  4 Ir 2.56
Ni: 0.5000 0.5000 0.0000 x1  4 Ga 2.45
Ir: 0.0000 0.0000 0.0000 x1  4 Ga 2.45
Ir: 0.0000 0.5000 0.6432 x2  5 Ga 2.50-2.56

Total magnetic moment   1.0840 μB/atom
Uncorrected energy   -0.57347 Ry per atom
V   181 Å³ per cell
Energy of formation   -0.489 eV per atom

=====

No. 7
The following is a DFT calculation (GGA-PBE) of a relaxed PmZnCoBi crystal.

Unit cell a=6.9242 b=6.9242 c=6.9242 alpha=90.00 beta=90.00 gamma=90.00
Last column: nearest neighbours and their distance in Å.
Space group F-43m (No. 216)
Inequivalent atoms, fractional coordinates:
Pm: 0.0000 0.0000 0.0000 x4  4 Co 3.00, 4 Zn 3.00
Zn: 0.2500 0.2500 0.7500 x4  4 Pm 3.00, 4 Bi 3.00
Co: 0.2500 0.2500 0.2500 x4  4 Bi 3.00, 4 Pm 3.00
Bi: 0.0000 0.0000 0.5000 x4  4 Zn 3.00, 4 Co 3.00

Total magnetic moment   0.1294 μB/atom
Uncorrected energy   -0.31577 Ry per atom
V   332 Å³ per cell
Energy of formation   -0.043 eV per atom

=====

No. 8
The following is a DFT calculation (GGA-PBE) of a relaxed La5TmTl3 crystal.

Unit cell a=9.7159 b=9.7159 c=7.0266 alpha=90.00 beta=90.00 gamma=120.00
Last column: nearest neighbours and their distance in Å.
Space group P6_3/mcm (No. 193)
Inequivalent atoms, fractional coordinates:
La: 0.0000 0.3416 0.2500 x6  5 Tl 3.22-3.52
La: 0.3333 0.6667 0.0000 x4  8 La 3.51-3.65, 6 Tl 3.75
Tm: 0.0000 0.0000 0.0000 x2  2 Tm 3.51, 6 Tl 3.57, 6 La 3.75
Tl: 0.0000 0.3195 0.7500 x6  5 La 3.22-3.52, 2 Tm 3.57

Total magnetic moment   0.0695 μB/atom
Uncorrected energy   -0.31670 Ry per atom
V   574 Å³ per cell
Energy of formation   -0.286 eV per atom

=====

No. 9
The following is a DFT calculation (GGA-PBE) of a relaxed Hg2TeMo crystal.

Unit cell a=3.1826 b=4.8748 c=13.3007 alpha=90.00 beta=90.00 gamma=90.00
Last column: nearest neighbours and their distance in Å.
Space group Imm2 (No. 44)
Inequivalent atoms, fractional coordinates:
Hg: 0.0000 0.0000 0.0000 x2  2 Mo 2.94, 4 Hg 3.18-3.21
Hg: 0.0000 0.5000 0.1572 x2  4 Mo 2.94, 4 Hg 3.18-3.21
Te: 0.0000 0.0000 0.3429 x2  2 Mo 2.63
Mo: 0.0000 0.5000 0.6856 x2  2 Te 2.63, 6 Hg 2.94

Total magnetic moment   0.0000 μB/atom
Formation energy (no corrections)   1.34 eV per formula unit
Uncorrected energy   -0.24328 Ry per atom
V   206 Å³ per cell

=====

No. 10
The following is a DFT calculation (GGA-PBE) of a relaxed ZrMnCu2 crystal.

Unit cell a=2.8824 b=3.3075 c=6.4115 alpha=90.00 beta=90.00 gamma=90.00
Last column: nearest neighbours and their distance in Å.
Space group Pmmm (No. 47)
Inequivalent atoms, fractional coordinates:
Zr: 0.0000 0.0000 0.0000 x1  8 Cu 2.88, 2 Zr 2.88, 2 Mn 3.21
Mn: 0.0000 0.0000 0.5000 x1  8 Cu 2.57
Cu: 0.5000 0.5000 0.2909 x2  4 Mn 2.57, 1 Cu 2.68, 4 Zr 2.88

Total magnetic moment   0.9168 μB/atom
Uncorrected energy   -0.47386 Ry per atom
V   61 Å³ per cell
Energy of formation   0.030 eV per atom

=====

No. 11
The following is a DFT calculation (GGA-PBE) of a relaxed HfCu3Ru crystal.

Unit cell a=4.5105 b=4.5105 c=4.5105 alpha=90.00 beta=90.00 gamma=90.00
Last column: nearest neighbours and their distance in Å.
Space group Pm-3m (No. 221)
Inequivalent atoms, fractional coordinates:
Hf: 0.0000 0.0000 0.0000 x1  12 Cu 3.19
Cu: 0.0000 0.5000 0.5000 x3  2 Ru 2.26
Ru: 0.5000 0.5000 0.5000 x1  6 Cu 2.26

Distance to the lowest polymorph of the same formula   0.000 eV/atom
Total magnetic moment   0.0000 μB/atom
Uncorrected energy   -0.38698 Ry per atom
V   92 Å³ per cell
Energy of formation   1.038 eV per atom

=====

No. 12
The following is a DFT calculation (GGA-PBE) of a relaxed PuCdBi2 crystal.

Unit cell a=4.8298 b=4.8298 c=26.2253 alpha=90.00 beta=90.00 gamma=120.00
Last column: nearest neighbours and their distance in Å.
Space group R-3m (No. 166, hexagonal axes)
Inequivalent atoms, fractional coordinates:
Pu: 0.0000 0.0000 0.0000 x3  6 Bi 3.19
Cd: 0.0000 0.0000 0.5000 x3  2 Bi 2.82
Bi: 0.0000 0.0000 0.3925 x6  1 Cd 2.82

Distance to the lowest polymorph of the same formula   0.454 eV/atom
Total magnetic moment   1.1923 μB/atom
Uncorrected energy   -0.40817 Ry per atom
V   530 Å³ per cell
Energy of formation   0.199 eV per atom

=====

| no. | DOS at the Fermi energy (states/eV/f.u.) |
| --- | --- |
| 1 | 4.25 |
| 2 | 15.70 |
| 3 | 13.76 |
| 4 | 2.30 |
| 5 | 3.15 |
| 6 | 26.82 |
| 7 | 3.78 |
| 8 | 10.96 |
| 9 | 1.75 |
| 10 | 3.15 |
| 11 | 5.92 |
| 12 | 14.80 |